Entry 1:
# LaPmRu

A relaxed LaPmRu crystal (GGA-PBE, Alexandria via LeMat-Bulk).

## Properties
**N(E_F)**: 0.70 states/eV per atom
**Relative energy among the computed polymorphs**: 0 meV/atom
**Total energy**: -6.55 eV per atom

Unit cell a=6.835 b=3.935 c=12.309 alpha=90.00 beta=90.00 gamma=90.00
Space group Pnma (No. 62)
Asymmetric unit:
La1 0.250 0.250 0.024 (multiplicity 4)
Pm1 0.000 0.250 0.750 (multiplicity 4)
Ru1 0.250 0.250 0.372 (multiplicity 4)


Entry 2:
# CsPuCu2Br8

A relaxed CsPuCu2Br8 crystal (GGA-PBE, Alexandria via LeMat-Bulk).

## Properties
**ΔE_f (raw)**: -0.92 eV per atom
**N(E_F)**: 1.40 states/eV per atom
**Total energy**: -3.98 eV per atom

Unit cell a=7.6737 b=7.6737 c=9.7676 alpha=90.00 beta=90.00 gamma=120.00
Space group P-3m1 (No. 164)
Asymmetric unit:
Cs1 0.0000 0.0000 0.0000 (multiplicity 1)
Pu1 0.0000 0.0000 0.5000 (multiplicity 1)
Cu1 0.3333 0.6667 0.2196 (multiplicity 2)
Br1 0.1655 0.3310 0.3286 (multiplicity 6)
Br2 0.3333 0.6667 0.9854 (multiplicity 2)


Entry 3:
# Tb3Pr2Al3

A relaxed Tb3Pr2Al3 crystal (GGA-PBE, Alexandria via LeMat-Bulk).

## Properties
**N(E_F)**: 0.65 states/eV per atom
**Total energy**: -4.60 eV per atom

Unit cell a=3.747 b=5.174 c=22.191 alpha=90.00 beta=90.00 gamma=90.00
Space group Immm (No. 71)
Asymmetric unit:
Tb1 0.000 0.000 0.000 (multiplicity 2)
Tb2 0.000 0.500 0.115 (multiplicity 4)
Pr1 0.000 0.000 0.228 (multiplicity 4)
Al1 0.000 0.000 0.500 (multiplicity 2)
Al2 0.000 0.500 0.388 (multiplicity 4)


Entry 4:
# ScCdTe2

A relaxed ScCdTe2 crystal (GGA-PBE, Alexandria via LeMat-Bulk).

## Properties
**ΔE_f (raw)**: -0.74 eV per atom
**N(E_F)**: 0.17 states/eV per atom
**Total energy**: -4.12 eV per atom

Unit cell a=4.297 b=4.018 c=12.736 alpha=90.00 beta=90.00 gamma=90.00
Space group Amm2 (No. 38)
Asymmetric unit:
Sc1 0.000 0.000 0.000 (multiplicity 2)
Cd1 0.500 0.000 0.807 (multiplicity 2)
Te1 0.000 0.000 0.326 (multiplicity 2)
Te2 0.500 0.000 0.577 (multiplicity 2)


Entry 5:
# AlGe3Rh

A relaxed AlGe3Rh crystal (GGA-PBE, Alexandria via LeMat-Bulk).

## Properties
**N(E_F)**: 0.64 states/eV per atom
**Relative energy among the computed polymorphs**: 596 meV/atom
**Total energy**: -4.10 eV per atom

Unit cell a=4.735 b=4.735 c=4.735 alpha=90.00 beta=90.00 gamma=90.00
Space group Pm-3m (No. 221)
Asymmetric unit:
Al1 0.000 0.000 0.000 (multiplicity 1)
Ge1 0.000 0.000 0.500 (multiplicity 3)
Rh1 0.500 0.500 0.500 (multiplicity 1)


Entry 6:
# RbCrCuTe2

A relaxed RbCrCuTe2 crystal (GGA-PBE, Alexandria via LeMat-Bulk).

## Properties
**ΔE_f (raw)**: -0.29 eV per atom
**N(E_F)**: 0.42 states/eV per atom
**Total energy**: -4.48 eV per atom

Unit cell a=8.295 b=6.171 c=6.499 alpha=90.00 beta=110.32 gamma=90.00
Space group P2/c (No. 13)
Asymmetric unit:
Rb1 0.000 0.231 0.250 (multiplicity 2)
Cr1 0.500 0.446 0.250 (multiplicity 2)
Cu1 0.500 0.000 0.000 (multiplicity 2)
Te1 0.279 0.284 0.867 (multiplicity 4)


Entry 7:
# BeAlSe

A relaxed BeAlSe crystal (GGA-PBE, Alexandria via LeMat-Bulk).

## Properties
**ΔE_f (raw)**: -0.16 eV per atom
**Relative energy among the computed polymorphs**: 33 meV/atom
**Total energy**: -3.82 eV per atom

Unit cell a=3.445 b=5.777 c=7.903 alpha=77.43 beta=77.73 gamma=90.00
Space group P-1 (No. 2)
Asymmetric unit:
Be1 0.067 0.035 0.362 (multiplicity 2)
Al1 0.499 0.723 0.501 (multiplicity 2)
Se1 0.354 0.830 0.799 (multiplicity 2)


Entry 8:
# Y3MgSb4

A relaxed Y3MgSb4 crystal (GGA-PBE, Alexandria via LeMat-Bulk).

## Properties
**ΔE_f (raw)**: -0.86 eV per atom
**N(E_F)**: 0.52 states/eV per atom
**Total energy**: -5.54 eV per atom

Unit cell a=6.189 b=6.189 c=6.189 alpha=90.00 beta=90.00 gamma=90.00
Space group Pm-3m (No. 221)
Asymmetric unit:
Y1 0.000 0.000 0.500 (multiplicity 3)
Mg1 0.500 0.500 0.500 (multiplicity 1)
Sb1 0.000 0.000 0.000 (multiplicity 1)
Sb2 0.000 0.500 0.500 (multiplicity 3)


Entry 9:
# Pm6Si3Br

A relaxed Pm6Si3Br crystal (GGA-PBE, Alexandria via LeMat-Bulk).

## Properties
**ΔE_f (raw)**: -0.59 eV per atom
**N(E_F)**: 1.05 states/eV per atom
**Total energy**: -5.23 eV per atom

Unit cell a=11.558 b=14.186 c=7.271 alpha=90.00 beta=90.00 gamma=90.00
Space group Cmc2_1 (No. 36)
Asymmetric unit:
Pm1 0.000 0.009 0.000 (multiplicity 4)
Pm2 0.000 0.244 0.635 (multiplicity 4)
Pm3 0.169 0.465 0.596 (multiplicity 8)
Pm4 0.173 0.272 0.045 (multiplicity 8)
Si1 0.000 0.405 0.893 (multiplicity 4)
Si2 0.176 0.107 0.776 (multiplicity 8)
Br1 0.000 0.166 0.261 (multiplicity 4)


Entry 10:
# CuHgSe2

A relaxed CuHgSe2 crystal (GGA-PBE, Alexandria via LeMat-Bulk).

## Properties
**ΔE_f (raw)**: -0.04 eV per atom
**N(E_F)**: 0.72 states/eV per atom
**Total energy**: -2.88 eV per atom

Unit cell a=8.443 b=11.503 c=5.210 alpha=90.00 beta=127.72 gamma=90.00
Space group C2/c (No. 15)
Asymmetric unit:
Cu1 0.000 0.015 0.250 (multiplicity 4)
Hg1 0.000 0.360 0.250 (multiplicity 4)
Se1 0.188 0.142 0.158 (multiplicity 8)


Entry 11:
# MgAl2Mo

A relaxed MgAl2Mo crystal (GGA-PBE, Alexandria via LeMat-Bulk).

## Properties
**N(E_F)**: 0.03 states/eV per atom
**Total energy**: -4.52 eV per atom

Unit cell a=7.137 b=7.137 c=5.594 alpha=90.00 beta=90.00 gamma=90.00
Space group I-42d (No. 122)
Asymmetric unit:
Mg1 0.000 0.000 0.000 (multiplicity 4)
Al1 0.241 0.250 0.625 (multiplicity 8)
Mo1 0.000 0.000 0.500 (multiplicity 4)


Entry 12:
# Ca2CdSi2

A relaxed Ca2CdSi2 crystal (GGA-PBE, Alexandria via LeMat-Bulk).

## Properties
**ΔE_f (raw)**: -0.01 eV per atom
**N(E_F)**: 1.14 states/eV per atom
**Total energy**: -3.16 eV per atom

Unit cell a=5.610 b=5.610 c=9.035 alpha=90.00 beta=90.00 gamma=90.00
Space group I4/mmm (No. 139)
Asymmetric unit:
Ca1 0.000 0.500 0.250 (multiplicity 4)
Cd1 0.000 0.000 0.000 (multiplicity 2)
Si1 0.000 0.000 0.374 (multiplicity 4)


no.,magnetic moment (μB per cell)
1,0.00
2,2.85
3,0.00
4,0.00
5,0.00
6,8.00
7,0.00
8,0.00
9,0.01
10,0.00
11,0.00
12,0.00